(1)
VASP calculation (PBE-GGA) on ScIn2Re after structural relaxation.

Geometry as POSCAR:
```
ScIn2Re
1.0
6.732 0.000 0.000
0.000 6.732 0.000
0.000 0.000 6.732
Sc In Re
4 8 4
Cartesian
0.000 0.000 0.000
0.000 3.366 3.366
3.366 0.000 3.366
3.366 3.366 0.000
1.683 1.683 1.683
1.683 1.683 5.049
1.683 5.049 1.683
1.683 5.049 5.049
5.049 1.683 1.683
5.049 1.683 5.049
5.049 5.049 1.683
5.049 5.049 5.049
0.000 0.000 3.366
0.000 3.366 0.000
3.366 0.000 0.000
3.366 3.366 3.366
```

Computed properties:
Space-group type   Fm-3m
DOS(E_F)   14.2 states/eV/cell
Density   10.03 g/cm3

(2)
VASP calculation (PBE-GGA) on Sc2InRe after structural relaxation.

Geometry as POSCAR:
```
Sc2InRe
1.0
3.472 0.000 0.000
0.000 4.880 0.000
0.000 0.000 9.607
Sc In Re
4 2 2
Cartesian
0.000 0.000 0.000
0.000 2.440 2.765
1.736 0.000 2.765
1.736 2.440 0.000
0.000 2.440 7.078
1.736 0.000 7.078
0.000 0.000 4.847
1.736 2.440 4.847
```

Computed properties:
Space-group type   Cmm2
DOS(E_F)   12.4 states/eV/cell
Density   7.98 g/cm3

(3)
VASP calculation (PBE-GGA) on Sc4InRe after structural relaxation.

Geometry as POSCAR:
```
Sc4InRe
1.0
0.000 3.941 3.941
3.941 0.000 3.941
3.941 3.941 0.000
Sc In Re
4 1 1
Cartesian
2.976 2.976 2.976
4.905 4.905 2.976
4.905 2.976 4.905
2.976 4.905 4.905
0.000 0.000 0.000
5.911 5.911 5.911
```

Computed properties:
Space-group type   F-43m
DOS(E_F)   8.5 states/eV/cell
Density   6.52 g/cm3

(4)
VASP calculation (PBE-GGA) on Sc2InRe after structural relaxation.

Geometry as POSCAR:
```
Sc2InRe
1.0
3.541 0.000 0.000
0.000 4.662 0.000
0.000 0.000 9.618
Sc In Re
4 2 2
Cartesian
0.000 0.000 0.000
0.000 2.331 2.151
1.771 0.000 6.961
1.771 2.331 4.809
0.000 2.331 7.372
1.771 0.000 2.563
0.000 0.000 4.787
1.771 2.331 9.596
```

Computed properties:
Space-group type   Imm2
DOS(E_F)   7.6 states/eV/cell
Density   8.18 g/cm3

Number 1: formation energy from the elements 0.13 eV/atom. Number 2: formation energy from the elements 0.20 eV/atom. Number 3: formation energy from the elements 0.42 eV/atom. Number 4: formation energy from the elements -0.06 eV/atom.